(1)
# YTcIr3, relaxed, DFT GGA-PBEsol
# Energy of formation   0.781 eV per atom
data_YTcIr3
_space_group_name_H-M_alt 'P m -3 m'
_space_group_IT_number 221
_space_group_name_Hall '-P 4 2 3'
_cell_length_a 4.6713
_cell_length_b 4.6713
_cell_length_c 4.6713
_cell_angle_alpha 90.00
_cell_angle_beta 90.00
_cell_angle_gamma 90.00
loop_
_atom_site_label
_atom_site_type_symbol
_atom_site_fract_x
_atom_site_fract_y
_atom_site_fract_z
Y1 Y 0.0000 0.0000 0.0000
Tc1 Tc 0.5000 0.5000 0.5000
Ir1 Ir 0.0000 0.5000 0.5000

---

(2)
# YTc2Ir, relaxed, DFT GGA-PBEsol
# Polymorph energy (0 for the lowest one)   78 meV/atom
# Energy of formation   0.272 eV per atom
data_YTc2Ir
_space_group_name_H-M_alt 'C m m m'
_space_group_IT_number 65
_space_group_name_Hall '-C 2 2'
_cell_length_a 5.5362
_cell_length_b 8.3543
_cell_length_c 2.7784
_cell_angle_alpha 90.00
_cell_angle_beta 90.00
_cell_angle_gamma 90.00
loop_
_atom_site_label
_atom_site_type_symbol
_atom_site_fract_x
_atom_site_fract_y
_atom_site_fract_z
Y1 Y 0.0000 0.0000 0.0000
Tc1 Tc 0.2500 0.2500 0.5000
Ir1 Ir 0.0000 0.5000 0.0000

---

(3)
# Zn2TcIr, relaxed, DFT GGA-PBEsol
# Polymorph energy (0 for the lowest one)   307 meV/atom
# Energy of formation   0.164 eV per atom
data_Zn2TcIr
_space_group_name_H-M_alt 'C m m m'
_space_group_IT_number 65
_space_group_name_Hall '-C 2 2'
_cell_length_a 5.2469
_cell_length_b 7.8160
_cell_length_c 2.6891
_cell_angle_alpha 90.00
_cell_angle_beta 90.00
_cell_angle_gamma 90.00
loop_
_atom_site_label
_atom_site_type_symbol
_atom_site_fract_x
_atom_site_fract_y
_atom_site_fract_z
Zn1 Zn 0.2500 0.2500 0.0000
Tc1 Tc 0.0000 0.0000 0.5000
Ir1 Ir 0.0000 0.5000 0.5000

---

(4)
# ZnTcIr2, relaxed, DFT GGA-PBEsol
# Energy of formation   0.157 eV per atom
data_ZnTcIr2
_space_group_name_H-M_alt 'P 4/m m m'
_space_group_IT_number 123
_space_group_name_Hall '-P 4 2'
_cell_length_a 4.4971
_cell_length_b 4.4971
_cell_length_c 2.7799
_cell_angle_alpha 90.00
_cell_angle_beta 90.00
_cell_angle_gamma 90.00
loop_
_atom_site_label
_atom_site_type_symbol
_atom_site_fract_x
_atom_site_fract_y
_atom_site_fract_z
Zn1 Zn 0.0000 0.0000 0.0000
Tc1 Tc 0.5000 0.5000 0.0000
Ir1 Ir 0.0000 0.5000 0.5000

---

(5)
# ZnTcIr2, relaxed, DFT GGA-PBEsol
# Energy of formation   -0.030 eV per atom
data_ZnTcIr2
_space_group_name_H-M_alt 'C m m m'
_space_group_IT_number 65
_space_group_name_Hall '-C 2 2'
_cell_length_a 5.4494
_cell_length_b 7.5002
_cell_length_c 2.7142
_cell_angle_alpha 90.00
_cell_angle_beta 90.00
_cell_angle_gamma 90.00
loop_
_atom_site_label
_atom_site_type_symbol
_atom_site_fract_x
_atom_site_fract_y
_atom_site_fract_z
Zn1 Zn 0.0000 0.0000 0.0000
Tc1 Tc 0.0000 0.5000 0.0000
Ir1 Ir 0.2500 0.2500 0.5000

---

(6)
# ZnTcIr, relaxed, DFT GGA-PBEsol
# Polymorph energy (0 for the lowest one)   0 meV/atom
# Energy of formation   0.209 eV per atom
data_ZnTcIr
_space_group_name_H-M_alt 'F -4 3 m'
_space_group_IT_number 216
_space_group_name_Hall 'F -4 2 3'
_cell_length_a 5.7906
_cell_length_b 5.7906
_cell_length_c 5.7906
_cell_angle_alpha 90.00
_cell_angle_beta 90.00
_cell_angle_gamma 90.00
loop_
_atom_site_label
_atom_site_type_symbol
_atom_site_fract_x
_atom_site_fract_y
_atom_site_fract_z
Zn1 Zn 0.0000 0.0000 0.0000
Tc1 Tc 0.0000 0.0000 0.5000
Ir1 Ir 0.2500 0.2500 0.7500

---

(7)
# ZnTcIr2, relaxed, DFT GGA-PBEsol
# Energy of formation   -0.160 eV per atom
data_ZnTcIr2
_space_group_name_H-M_alt 'R -3 m'
_space_group_IT_number 166
_space_group_name_Hall '-R 3 2"'
_cell_length_a 2.7169
_cell_length_b 2.7169
_cell_length_c 26.0255
_cell_angle_alpha 90.00
_cell_angle_beta 90.00
_cell_angle_gamma 120.00
loop_
_atom_site_label
_atom_site_type_symbol
_atom_site_fract_x
_atom_site_fract_y
_atom_site_fract_z
Zn1 Zn 0.0000 0.0000 0.0000
Tc1 Tc 0.0000 0.0000 0.5000
Ir1 Ir 0.0000 0.0000 0.2494

---

(8)
# ZnTcIr2, relaxed, DFT GGA-PBEsol
# Energy of formation   -0.135 eV per atom
data_ZnTcIr2
_space_group_name_H-M_alt 'P m m m'
_space_group_IT_number 47
_space_group_name_Hall '-P 2 2'
_cell_length_a 2.7319
_cell_length_b 3.7496
_cell_length_c 5.3832
_cell_angle_alpha 90.00
_cell_angle_beta 90.00
_cell_angle_gamma 90.00
loop_
_atom_site_label
_atom_site_type_symbol
_atom_site_fract_x
_atom_site_fract_y
_atom_site_fract_z
Zn1 Zn 0.0000 0.0000 0.0000
Tc1 Tc 0.0000 0.0000 0.5000
Ir1 Ir 0.5000 0.5000 0.2508

---

Which of these has the lowest energy of formation?
number 7

---

Which of these has the highest energy of formation?
YTcIr3

---

Look up the energy of formation of the fourth one.
0.157 eV per atom

---

Repeat the second record exactly.
# YTc2Ir, relaxed, DFT GGA-PBEsol
# Polymorph energy (0 for the lowest one)   78 meV/atom
# Energy of formation   0.272 eV per atom
data_YTc2Ir
_space_group_name_H-M_alt 'C m m m'
_space_group_IT_number 65
_space_group_name_Hall '-C 2 2'
_cell_length_a 5.5362
_cell_length_b 8.3543
_cell_length_c 2.7784
_cell_angle_alpha 90.00
_cell_angle_beta 90.00
_cell_angle_gamma 90.00
loop_
_atom_site_label
_atom_site_type_symbol
_atom_site_fract_x
_atom_site_fract_y
_atom_site_fract_z
Y1 Y 0.0000 0.0000 0.0000
Tc1 Tc 0.2500 0.2500 0.5000
Ir1 Ir 0.0000 0.5000 0.0000